Cs2RbLiPb (PBE, relaxed); spin magnetization = 0.21 μB/cell; ΔH_f (0 K) = 22 meV per atom; crystal system = tetragonal
1.0
-4.442 1.859 5.270
1.926 -5.810 3.674
4.073 2.879 2.417
Cs Li Rb Pb
2 1 1 1
Cartesian
-2.221 0.930 2.635
0.963 -2.905 1.837
0.000 0.000 0.000
0.779 -0.536 5.680
2.036 1.439 1.209